Run one
First-principles (PBE) data for Ca3Ag3Au2 after structural relaxation, as listed in Alexandria via LeMat-Bulk.

The structure belongs to space group P-62m (No. 189); the cell edges are 7.3689, 7.3689 and 4.0820 Å and the angles 90.00°, 90.00° and 120.00°. The inequivalent atoms are Ca at (0.0000, 0.6125, 0.0000), Ag at (0.0000, 0.2296, 0.5000) and Au at (0.3333, 0.6667, 0.5000).

The magnetic moment is 0.000 μB/cell.

=====

Run two
First-principles (PBE) data for Ca3Ag3Au2 after structural relaxation, as listed in Alexandria via LeMat-Bulk.

The structure belongs to space group Cmcm (No. 63); the cell edges are 4.266, 10.643 and 17.112 Å and the angles 90.00°, 90.00° and 90.00°. The inequivalent atoms are Ca at (0.000, 0.066, 0.106), Ca at (0.000, 0.336, 0.250), Ag at (0.000, 0.370, 0.027), Ag at (0.000, 0.381, 0.750) and Au at (0.000, 0.222, 0.619).

The magnetic moment is 0.000 μB/cell.

=====

Which of them is the most stable, and which is the least stable? run one and run two, in that order.

=====

Run one
First-principles (PBE) data for CaAg3Au after structural relaxation, as listed in Alexandria via LeMat-Bulk.

The structure belongs to space group Pm-3m (No. 221); the cell edges are 5.170, 5.170 and 5.170 Å and the angles 90.00°, 90.00° and 90.00°. The inequivalent atoms are Ca at (0.000, 0.000, 0.000), Ag at (0.000, 0.500, 0.500) and Au at (0.500, 0.500, 0.500).

The magnetic moment is 0.000 μB/cell.

=====

Run two
First-principles (PBE) data for CaAg3Au after structural relaxation, as listed in Alexandria via LeMat-Bulk.

The structure belongs to space group P1 (No. 1); the cell edges are 4.080, 4.091 and 7.226 Å and the angles 106.16°, 106.14° and 90.01°. The inequivalent atoms are Ca at (0.000, 0.000, 0.000), Ag at (0.263, 0.765, 0.527), Ag at (0.618, 0.618, 0.232), Ag at (0.764, 0.263, 0.526) and Au at (0.413, 0.413, 0.826).

The magnetic moment is 0.000 μB/cell.

=====

Run three
First-principles (PBE) data for CaAg3Au after structural relaxation, as listed in Alexandria via LeMat-Bulk.

The structure belongs to space group Pm-3m (No. 221); the cell edges are 5.302, 5.302 and 5.302 Å and the angles 90.00°, 90.00° and 90.00°. The inequivalent atoms are Ca at (0.000, 0.000, 0.000), Ag at (0.000, 0.000, 0.500) and Au at (0.500, 0.500, 0.500).

The magnetic moment is 0.000 μB/cell.

=====

Which of them is the most stable, and which is the least stable? run two and run three, in that order.

=====

Run one
First-principles (PBE) data for Ca2AgAu after structural relaxation, as listed in Alexandria via LeMat-Bulk.

The structure belongs to space group F-43m (No. 216); the cell edges are 7.191, 7.191 and 7.191 Å and the angles 90.00°, 90.00° and 90.00°. The inequivalent atoms are Ca at (0.000, 0.000, 0.000), Ca at (0.250, 0.250, 0.250), Ag at (0.000, 0.000, 0.500) and Au at (0.250, 0.250, 0.750).

The magnetic moment is 0.000 μB/cell.

=====

Run two
First-principles (PBE) data for Ca2AgAu after structural relaxation, as listed in Alexandria via LeMat-Bulk.

The structure belongs to space group I-4m2 (No. 119); the cell edges are 4.414, 4.414 and 10.030 Å and the angles 90.00°, 90.00° and 90.00°. The inequivalent atoms are Ca at (0.000, 0.000, 0.000), Ca at (0.000, 0.500, 0.250), Ag at (0.000, 0.500, 0.750) and Au at (0.000, 0.000, 0.500).

The magnetic moment is 0.000 μB/cell.

=====

Run three
First-principles (PBE) data for Ca2AgAu after structural relaxation, as listed in Alexandria via LeMat-Bulk.

The structure belongs to space group Pm (No. 6); the cell edges are 3.712, 5.163 and 5.163 Å and the angles 90.00°, 90.07° and 90.00°. The inequivalent atoms are Ca at (0.000, 0.000, 0.000), Ca at (0.000, 0.500, 0.500), Ag at (0.500, 0.000, 0.500) and Au at (0.500, 0.500, 0.999).

The magnetic moment is 0.000 μB/cell.

=====

Run four
First-principles (PBE) data for Ca2AgAu after structural relaxation, as listed in Alexandria via LeMat-Bulk.

The structure belongs to space group P2_1/m (No. 11); the cell edges are 5.975, 4.723 and 7.930 Å and the angles 90.00°, 109.81° and 90.00°. The inequivalent atoms are Ca at (0.212, 0.250, 0.432), Ca at (0.227, 0.250, 0.927), Ag at (0.337, 0.750, 0.213) and Au at (0.349, 0.750, 0.709).

The magnetic moment is 0.000 μB/cell.

=====

Which of them is the most stable, and which is the least stable? run four and run one, in that order.

=====

Run one
First-principles (PBE) data for Ca2AgAu after structural relaxation, as listed in Alexandria via LeMat-Bulk.

The structure belongs to space group I-42d (No. 122); the cell edges are 8.015, 8.015 and 7.048 Å and the angles 90.00°, 90.00° and 90.00°. The inequivalent atoms are Ca at (0.240, 0.250, 0.125), Ag at (0.000, 0.000, 0.500) and Au at (0.000, 0.000, 0.000).

The magnetic moment is 0.000 μB/cell.

=====

Run two
First-principles (PBE) data for Ca2AgAu after structural relaxation, as listed in Alexandria via LeMat-Bulk.

The structure belongs to space group C2/m (No. 12); the cell edges are 7.357, 4.292 and 7.703 Å and the angles 90.00°, 108.94° and 90.00°. The inequivalent atoms are Ca at (0.245, 0.000, 0.235), Ag at (0.000, 0.000, 0.500) and Au at (0.000, 0.500, 0.000).

The magnetic moment is 0.000 μB/cell.

=====

Which of them is the most stable, and which is the least stable? run two and run one, in that order.

=====

Run one
First-principles (PBE) data for Ca2AgAu after structural relaxation, as listed in Alexandria via LeMat-Bulk.

The structure belongs to space group Cm (No. 8); the cell edges are 11.132, 3.665 and 5.121 Å and the angles 90.00°, 105.88° and 90.00°. The inequivalent atoms are Ca at (0.000, 0.000, 0.000), Ca at (0.210, 0.000, 0.634), Ag at (0.257, 0.500, 0.177) and Au at (0.468, 0.000, 0.480).

The magnetic moment is 0.000 μB/cell.

=====

Run two
First-principles (PBE) data for Ca2AgAu after structural relaxation, as listed in Alexandria via LeMat-Bulk.

The structure belongs to space group Fm-3m (No. 225); the cell edges are 7.339, 7.339 and 7.339 Å and the angles 90.00°, 90.00° and 90.00°. The inequivalent atoms are Ca at (0.250, 0.250, 0.250), Ag at (0.000, 0.000, 0.000) and Au at (0.000, 0.000, 0.500).

The magnetic moment is 0.000 μB/cell.

=====

Which of them is the most stable, and which is the least stable? run two and run one, in that order.

=====

Run one
First-principles (PBE) data for Ca2AgAu after structural relaxation, as listed in Alexandria via LeMat-Bulk.

The structure belongs to space group R3m (No. 160, hexagonal axes); the cell edges are 4.2641, 4.2641 and 22.0747 Å and the angles 90.00°, 90.00° and 120.00°. The inequivalent atoms are Ca at (0.0000, 0.0000, 0.0000), Ca at (0.0000, 0.0000, 0.1804), Ag at (0.0000, 0.0000, 0.7540) and Au at (0.0000, 0.0000, 0.5924).

The magnetic moment is 0.000 μB/cell.

=====

Run two
First-principles (PBE) data for Ca2AgAu after structural relaxation, as listed in Alexandria via LeMat-Bulk.

The structure belongs to space group P4mm (No. 99); the cell edges are 4.232, 4.232 and 6.177 Å and the angles 90.00°, 90.00° and 90.00°. The inequivalent atoms are Ca at (0.000, 0.000, 0.000), Ca at (0.500, 0.500, 0.408), Ag at (0.000, 0.000, 0.515) and Au at (0.500, 0.500, 0.902).

The magnetic moment is 0.000 μB/cell.

=====

Which of them is the most stable, and which is the least stable? run one and run two, in that order.

=====

Run one
First-principles (PBE) data for Ca3Ag4Au2 after structural relaxation, as listed in Alexandria via LeMat-Bulk.

The structure belongs to space group C2/m (No. 12); the cell edges are 10.862, 4.732 and 9.096 Å and the angles 90.00°, 116.83° and 90.00°. The inequivalent atoms are Ca at (0.000, 0.000, 0.000), Ca at (0.186, 0.500, 0.638), Ag at (0.006, 0.000, 0.352), Ag at (0.225, 0.500, 0.064) and Au at (0.083, 0.500, 0.256).

The magnetic moment is 0.000 μB/cell.

=====

Run two
First-principles (PBE) data for Ca3Ag4Au2 after structural relaxation, as listed in Alexandria via LeMat-Bulk.

The structure belongs to space group P-1 (No. 2); the cell edges are 4.864, 5.690 and 8.805 Å and the angles 104.91°, 90.31° and 115.26°. The inequivalent atoms are Ca at (0.000, 0.000, 0.000), Ca at (0.388, 0.776, 0.630), Ag at (0.088, 0.179, 0.648), Ag at (0.299, 0.597, 0.943) and Au at (0.268, 0.536, 0.261).

The magnetic moment is 0.000 μB/cell.

=====

Which of them is the most stable, and which is the least stable? run one and run two, in that order.

=====

Run one
First-principles (PBE) data for Ca2AgAu7 after structural relaxation, as listed in Alexandria via LeMat-Bulk.

The structure belongs to space group Fm-3m (No. 225); the cell edges are 10.285, 10.285 and 10.285 Å and the angles 90.00°, 90.00° and 90.00°. The inequivalent atoms are Ca at (0.250, 0.250, 0.250), Ag at (0.000, 0.000, 0.000), Au at (0.000, 0.000, 0.249) and Au at (0.000, 0.000, 0.500).

The magnetic moment is 0.000 μB/cell.

=====

Run two
First-principles (PBE) data for Ca2AgAu7 after structural relaxation, as listed in Alexandria via LeMat-Bulk.

The structure belongs to space group P-4m2 (No. 115); the cell edges are 4.035, 4.035 and 13.437 Å and the angles 90.00°, 90.00° and 90.00°. The inequivalent atoms are Ca at (0.000, 0.500, 0.247), Ag at (0.000, 0.000, 0.500), Au at (0.000, 0.000, 0.000), Au at (0.000, 0.500, 0.650), Au at (0.000, 0.500, 0.849), Au at (0.500, 0.500, 0.000) and Au at (0.500, 0.500, 0.500).

The magnetic moment is 0.000 μB/cell.

=====

Which of them is the most stable, and which is the least stable? run two and run one, in that order.

=====

Run one
First-principles (PBE) data for CaAgAu3 after structural relaxation, as listed in Alexandria via LeMat-Bulk.

The structure belongs to space group Cmcm (No. 63); the cell edges are 5.644, 13.900 and 5.501 Å and the angles 90.00°, 90.00° and 90.00°. The inequivalent atoms are Ca at (0.000, 0.115, 0.250), Ag at (0.000, 0.500, 0.000), Au at (0.000, 0.319, 0.750) and Au at (0.249, 0.147, 0.750).

The magnetic moment is 0.000 μB/cell.

=====

Run two
First-principles (PBE) data for CaAgAu3 after structural relaxation, as listed in Alexandria via LeMat-Bulk.

The structure belongs to space group Pm-3m (No. 221); the cell edges are 5.124, 5.124 and 5.124 Å and the angles 90.00°, 90.00° and 90.00°. The inequivalent atoms are Ca at (0.000, 0.000, 0.000), Ag at (0.500, 0.500, 0.500) and Au at (0.000, 0.500, 0.500).

The magnetic moment is 0.000 μB/cell.

=====

Run three
First-principles (PBE) data for CaAgAu3 after structural relaxation, as listed in Alexandria via LeMat-Bulk.

The structure belongs to space group I4mm (No. 107); the cell edges are 4.072, 4.072 and 13.265 Å and the angles 90.00°, 90.00° and 90.00°. The inequivalent atoms are Ca at (0.000, 0.000, 0.000), Ag at (0.000, 0.000, 0.619), Au at (0.000, 0.000, 0.418) and Au at (0.000, 0.500, 0.267).

The magnetic moment is 0.000 μB/cell.

=====

Which of them is the most stable, and which is the least stable? run one and run two, in that order.

=====

Run one
First-principles (PBE) data for Ca7Ag2Au2 after structural relaxation, as listed in Alexandria via LeMat-Bulk.

The structure belongs to space group Cmmm (No. 65); the cell edges are 8.530, 11.181 and 7.361 Å and the angles 90.00°, 90.00° and 90.00°. The inequivalent atoms are Ca at (0.000, 0.000, 0.000), Ca at (0.000, 0.500, 0.254), Ca at (0.250, 0.250, 0.266), Ag at (0.176, 0.000, 0.500) and Au at (0.000, 0.285, 0.000).

The magnetic moment is 0.000 μB/cell.

=====

Run two
First-principles (PBE) data for Ca7Ag2Au2 after structural relaxation, as listed in Alexandria via LeMat-Bulk.

The structure belongs to space group Imm2 (No. 44); the cell edges are 4.359, 15.617 and 9.676 Å and the angles 90.00°, 90.00° and 90.00°. The inequivalent atoms are Ca at (0.000, 0.000, 0.000), Ca at (0.000, 0.112, 0.402), Ca at (0.000, 0.318, 0.618), Ca at (0.000, 0.369, 0.229), Ag at (0.000, 0.235, 0.914), Au at (0.000, 0.000, 0.669) and Au at (0.000, 0.500, 0.735).

The magnetic moment is 0.000 μB/cell.

=====

Which of them is the most stable, and which is the least stable? run two and run one, in that order.